Sr5PrBi4 | PBE | relaxed

Unit cell a=9.4059 b=9.4059 c=8.2663 alpha=92.35 beta=92.35 gamma=33.68
Sites, in units of the cell vectors:
Sr 0.0000 0.0000 0.0000
Sr 0.3340 0.3340 0.4938
Sr 0.3398 0.3398 0.0100
Sr 0.6602 0.6602 0.9900
Sr 0.6660 0.6660 0.5062
Pr 0.0000 0.0000 0.5000
Bi 0.1812 0.1812 0.7479
Bi 0.4826 0.4826 0.7451
Bi 0.5174 0.5174 0.2549
Bi 0.8188 0.8188 0.2521

uncorrected energy: -3.632 eV/atom
ΔE_f: -0.761 eV/atom
crystal system: monoclinic
symmetry: C2/m, No. 12